[1]
CoOs3 | PBE-GGA | optimized geometry

Total DFT energy (no corrections) = -9.63 eV/atom
Total magnetic moment = 0.0 μB per formula unit
ΔE_f = 0.571 eV per atom

CIF file:
```
data_CoOs3
_cell_length_a 4.805
_cell_length_b 4.805
_cell_length_c 4.805
_cell_angle_alpha 90.00
_cell_angle_beta 90.00
_cell_angle_gamma 90.00
_space_group_name_H-M_alt 'P m -3 n'
_space_group_IT_number 223
_space_group_name_Hall '-P 4n 2 3'
loop_
_atom_site_label
_atom_site_fract_x
_atom_site_fract_y
_atom_site_fract_z
_atom_site_occupancy
Co1 0.000 0.000 0.000 1
Os1 0.000 0.250 0.500 1
```



[2]
AcPuP2S8 | PBE-GGA | optimized geometry

Formation energy without anion corrections = -0.776 eV/atom
Total DFT energy (no corrections) = -5.97 eV/atom
Total magnetic moment = 5.0 μB per formula unit

CIF file:
```
data_AcPuP2S8
_cell_length_a 6.6883
_cell_length_b 6.6883
_cell_length_c 8.7305
_cell_angle_alpha 90.00
_cell_angle_beta 90.00
_cell_angle_gamma 120.00
_space_group_name_H-M_alt 'P -3 m 1'
_space_group_IT_number 164
_space_group_name_Hall '-P 3 2"'
loop_
_atom_site_label
_atom_site_fract_x
_atom_site_fract_y
_atom_site_fract_z
_atom_site_occupancy
Ac1 0.0000 0.0000 0.0000 1
Pu1 0.0000 0.0000 0.5000 1
P1 0.3333 0.6667 0.1950 1
S1 0.1665 0.3329 0.2783 1
S2 0.3333 0.6667 0.9672 1
```



[3]
In6BiPb12 | PBE-GGA | optimized geometry

Total DFT energy (no corrections) = -3.35 eV/atom
Total magnetic moment = 0.0 μB per formula unit
ΔE_f = 0.059 eV per atom
Polymorph energy (0 for the lowest one) = 0.000 eV/atom

CIF file:
```
data_In6BiPb12
_cell_length_a 11.7299
_cell_length_b 11.7299
_cell_length_c 14.9008
_cell_angle_alpha 90.00
_cell_angle_beta 90.00
_cell_angle_gamma 120.00
_space_group_name_H-M_alt 'R -3'
_space_group_IT_number 148
_space_group_name_Hall '-R 3'
loop_
_atom_site_label
_atom_site_fract_x
_atom_site_fract_y
_atom_site_fract_z
_atom_site_occupancy
In1 0.0220 0.4375 0.1980 1
Bi1 0.0000 0.0000 0.5000 1
Pb1 0.0211 0.1893 0.3135 1
Pb2 0.0584 0.8461 0.9124 1
```



Calculated DOS(E_F), 11.34; 11.87; 28.91 states/eV/cell (same order as the records).